# Mg6CdMo

A relaxed structure of Mg6CdMo (GGA-PBE, Alexandria).

Cell: 4.8900 6.2106 6.2106 Å, 59.82 90.00 90.00°
With the nearest neighbours (Å) after each atom.
Sites, in units of the cell vectors:
Mg (0.0000, 0.0000, 0.0000)  10 Mg 2.94-3.27, 2 Mo 2.96
Mg (0.0000, 0.0007, 0.4727)  8 Mg 2.92-3.27, 2 Mo 2.98, 2 Cd 3.06
Mg (0.0000, 0.4727, 0.0007)  8 Mg 2.92-3.27, 2 Mo 2.98, 2 Cd 3.06
Mg (0.0000, 0.4925, 0.4925)  2 Cd 3.02, 10 Mg 3.05-3.12
Mg (0.5000, 0.1537, 0.6582)  8 Mg 3.05-3.12, 2 Cd 3.08-3.13, 2 Mo 3.09-3.12
Mg (0.5000, 0.6582, 0.1537)  8 Mg 3.05-3.12, 2 Cd 3.08-3.13, 2 Mo 3.09-3.12
Cd (0.5000, 0.6578, 0.6578)  10 Mg 3.02-3.13, 2 Mo 3.10
Mo (0.5000, 0.1551, 0.1551)  10 Mg 2.96-3.12, 2 Cd 3.10

As for the uncorrected energy: -2.495 eV/atom. As for the space-group type: Amm2. The calculation puts the formation energy at 170 meV per atom.

---

# MgCdMo2

A relaxed structure of MgCdMo2 (GGA-PBE, Alexandria).

Cell: 2.7365 2.7365 9.4293 Å, 90.00 90.00 99.78°
With the nearest neighbours (Å) after each atom.
Sites, in units of the cell vectors:
Mg (0.0000, 0.0000, 0.0000)  4 Mg 2.74, 4 Mo 2.92
Cd (0.0000, 0.0000, 0.5000)  4 Cd 2.74, 4 Mo 2.97
Mo (0.5000, 0.5000, 0.2467)  4 Mo 2.74, 2 Mg 2.92, 2 Cd 2.97
Mo (0.5000, 0.5000, 0.7533)  4 Mo 2.74, 2 Mg 2.92, 2 Cd 2.97

As for the uncorrected energy: -5.655 eV/atom. As for the space-group type: Cmmm. The calculation puts the formation energy at 388 meV per atom.

---

# MgCdMo2

A relaxed structure of MgCdMo2 (GGA-PBE, Alexandria).

Cell: 4.9253 4.9253 5.4111 Å, 93.48 93.48 32.37°
With the nearest neighbours (Å) after each atom.
Sites, in units of the cell vectors:
Mg (0.0000, 0.0000, 0.0000)  3 Cd 2.74-2.95, 2 Mg 2.75, 5 Mo 2.88-3.04
Cd (0.2495, 0.2495, 0.7685)  3 Mg 2.74-2.95, 2 Cd 2.75, 5 Mo 2.98-3.03
Mo (0.5067, 0.5067, 0.4776)  3 Mo 2.61-2.75
Mo (0.7497, 0.7497, 0.2761)  3 Mo 2.61-2.75, 1 Mg 2.88

As for the uncorrected energy: -5.701 eV/atom. As for the space-group type: Cm. The calculation puts the formation energy at 342 meV per atom.

---

# MgCdMo2

A relaxed structure of MgCdMo2 (GGA-PBE, Alexandria).

Cell: 4.6121 4.6121 4.6121 Å, 120.12 120.12 89.80°
With the nearest neighbours (Å) after each atom.
Sites, in units of the cell vectors:
Mg (0.0000, 0.0000, 0.0000)  4 Cd 2.82, 4 Mo 2.82
Cd (0.7500, 0.2500, 0.5000)  4 Mo 2.82, 4 Mg 2.82
Mo (0.2500, 0.7500, 0.5000)  4 Mo 2.82, 4 Mg 2.82
Mo (0.5000, 0.5000, 0.0000)  4 Cd 2.82, 4 Mo 2.82

As for the uncorrected energy: -5.643 eV/atom. As for the space-group type: I-4m2. The calculation puts the formation energy at 400 meV per atom.

---

# MgCdMo2

A relaxed structure of MgCdMo2 (GGA-PBE, Alexandria).

Cell: 10.0071 10.0071 10.0071 Å, 16.53 16.53 16.53°
With the nearest neighbours (Å) after each atom.
Sites, in units of the cell vectors:
Mg (0.0000, 0.0000, 0.0000)  6 Mg 2.88, 6 Mo 2.95
Cd (0.5000, 0.5000, 0.5000)  6 Cd 2.88, 6 Mo 2.99
Mo (0.2508, 0.2508, 0.2508)  6 Mo 2.88, 3 Mg 2.95, 3 Cd 2.99
Mo (0.7492, 0.7492, 0.7492)  6 Mo 2.88, 3 Mg 2.95, 3 Cd 2.99

As for the uncorrected energy: -5.512 eV/atom. As for the space-group type: R-3m. The calculation puts the formation energy at 531 meV per atom.

---

# MgCdMo2

A relaxed structure of MgCdMo2 (GGA-PBE, Alexandria).

Cell: 5.4439 5.4439 2.7444 Å, 95.38 95.38 119.94°
With the nearest neighbours (Å) after each atom.
Sites, in units of the cell vectors:
Mg (0.0000, 0.0000, 0.0000)  2 Cd 2.72, 2 Mg 2.74, 4 Mo 2.93
Cd (0.5000, 0.5000, 0.0000)  2 Mg 2.72, 2 Cd 2.74, 4 Mo 2.93
Mo (0.0000, 0.5000, 0.5000)  4 Mo 2.72-2.74, 2 Cd 2.93, 2 Mg 2.93
Mo (0.5000, 0.0000, 0.5000)  4 Mo 2.72-2.74, 2 Cd 2.93, 2 Mg 2.93

As for the uncorrected energy: -5.682 eV/atom. As for the space-group type: C2/m. The calculation puts the formation energy at 361 meV per atom.